CeLu2Mg: optimized geometry, PBE.

Output
Its formation energy is 36 meV/atom. As for the space group: R-3m.

Cell lengths 11.2366, 11.2366, 11.2366 Å; angles 17.45, 17.45, 17.45 degrees
With the nearest neighbours (Å) after each atom.
Positions (direct):
Ce1 0.0000 0.0000 0.0000  6 Ce 3.41, 6 Lu 3.43
Lu1 0.2486 0.2486 0.2486  3 Mg 3.36, 6 Lu 3.41, 3 Ce 3.43
Lu2 0.7514 0.7514 0.7514  3 Mg 3.36, 6 Lu 3.41, 3 Ce 3.43
Mg1 0.5000 0.5000 0.5000  6 Lu 3.36, 6 Mg 3.41